# 1
The following is a DFT calculation (GGA-PBE) of an optimized crystal structure of SrTbCdTe3.

Geometry as CIF:
```
data_SrTbCdTe3
_chemical_formula_sum 'Sr4 Tb4 Cd4 Te12'
_space_group_name_H-M_alt 'C m c m'
_space_group_IT_number 63
_space_group_name_Hall '-C 2c 2'
_cell_length_a 4.3899
_cell_length_b 15.5172
_cell_length_c 11.2462
_cell_angle_alpha 90.00
_cell_angle_beta 90.00
_cell_angle_gamma 90.00
loop_
_atom_site_label
_atom_site_type_symbol
_atom_site_fract_x
_atom_site_fract_y
_atom_site_fract_z
Sr1 Sr 0.0000 0.2299 0.2500
Tb1 Tb 0.0000 0.0000 0.0000
Cd1 Cd 0.0000 0.4757 0.7500
Te1 Te 0.0000 0.1008 0.7500
Te2 Te 0.0000 0.3581 0.5505
```

crystal system	orthorhombic



# 2
The following is a DFT calculation (GGA-PBE) of an optimized crystal structure of Sr2Al4NiAu.

Geometry as CIF:
```
data_Sr2Al4NiAu
_chemical_formula_sum 'Sr4 Al8 Ni2 Au2'
_space_group_name_H-M_alt 'A m m 2'
_space_group_IT_number 38
_cell_length_a 7.3794
_cell_length_b 4.2076
_cell_length_c 11.5523
_cell_angle_alpha 90.00
_cell_angle_beta 90.00
_cell_angle_gamma 90.00
loop_
_space_group_symop_operation_xyz
'x,y,z'
'-x,-y,z'
'-x,y,z'
'x,-y,z'
'x,y+1/2,z+1/2'
'-x,-y+1/2,z+1/2'
'-x,y+1/2,z+1/2'
'x,-y+1/2,z+1/2'
loop_
_atom_site_label
_atom_site_type_symbol
_atom_site_fract_x
_atom_site_fract_y
_atom_site_fract_z
Sr1 Sr 0.0000 0.0000 0.0000
Sr2 Sr 0.5000 0.0000 0.0936
Al1 Al 0.2068 0.0000 0.7277
Al2 Al 0.3231 0.0000 0.3720
Ni1 Ni 0.5000 0.0000 0.8279
Au1 Au 0.0000 0.0000 0.2737
```

crystal system	orthorhombic



Number 1: uncorrected energy -23.0 eV/f.u.. Number 2: uncorrected energy -30.9 eV/f.u..